A relaxed LiY2AlCr crystal, computed with PBE.

Summary:
The total magnetic moment is 1.00 μB per cell. The value obtained for the formation energy is 1.051 eV/atom. The density comes out at 3.23 g/cm3. The space group is P4/mmm.

Unit cell a=5.511 b=4.471 c=5.511 alpha=90.00 beta=90.00 gamma=90.00
Site moments in Bohr magnetons follow the coordinates.
Fractional positions:
Li  0.000  0.500  0.000  0.00
Cr  0.500  0.500  0.500  0.06
Y  0.000  0.000  0.500  0.15
Al  0.000  0.000  0.000  0.02
Y  0.500  0.000  0.000  0.20



A relaxed YSiP2 crystal, computed with PBE.

Summary:
The total magnetic moment is 0.00 μB per cell. The calculation puts the formation energy without anion corrections at -12.7 kcal/mol of atoms. The density comes out at 3.73 g/cm3. The space group is I-42d.

Unit cell a=6.692 b=6.692 c=5.919 alpha=55.58 beta=55.58 gamma=90.00
Fractional positions:
P  0.875  0.804  0.750
Si  0.500  0.500  0.000
Si  0.250  0.750  0.500
Y  0.750  0.250  0.500
P  0.196  0.625  0.250
P  0.375  0.446  0.750
P  0.554  0.125  0.250
Y  0.000  0.000  0.000



A relaxed TbY2IrO8 crystal, computed with PBE.

Summary:
The total magnetic moment is 1.65 μB per cell. The calculation puts the formation energy without anion corrections at -54.0 kcal/mol of atoms. The density comes out at 6.28 g/cm3. The space group is P2/m.

Unit cell a=5.057 b=5.051 c=6.801 alpha=90.00 beta=90.00 gamma=90.52
Site moments in Bohr magnetons follow the coordinates.
Fractional positions:
O  0.818  0.184  0.210  0.11
O  0.269  0.268  0.000  0.05
O  0.818  0.184  0.790  0.11
O  0.309  0.307  0.500  0.01
Ir  0.000  0.000  0.000  0.82
O  0.182  0.816  0.790  0.11
O  0.731  0.732  0.000  0.05
Y  0.500  0.500  0.748  0.02
O  0.691  0.693  0.500  0.01
O  0.182  0.816  0.210  0.11
Y  0.500  0.500  0.252  0.02
Tb  0.000  0.000  0.500  0.03



A relaxed SmSnIr crystal, computed with PBE.

Summary:
The total magnetic moment is 0.00 μB per cell. The value obtained for the formation energy is -0.429 eV/atom. The density comes out at 10.15 g/cm3. The space group is Fddd.

Unit cell a=7.385 b=7.385 c=7.257 alpha=108.80 beta=108.80 gamma=111.51
Fractional positions:
Ir  0.067  0.567  0.134
Sn  0.133  0.867  0.000
Sm  0.125  0.375  0.750
Sn  0.117  0.883  0.500
Sm  0.625  0.875  0.250
Sn  0.383  0.617  0.500
Ir  0.817  0.817  0.634
Sn  0.867  0.133  0.000
Sm  0.625  0.375  0.750
Ir  0.183  0.183  0.366
Sm  0.625  0.375  0.250
Ir  0.433  0.933  0.866



A relaxed NdZrCd2 crystal, computed with PBE.

Summary:
Its energy above the lowest structure with this stoichiometry is 48.4 meV/atom. The total magnetic moment is 0.56 μB per cell. The value obtained for the formation energy is -0.104 eV/atom. The density comes out at 7.60 g/cm3. The space group is Fm-3m.

Unit cell a=5.220 b=5.220 c=5.220 alpha=60.00 beta=60.00 gamma=60.00
Site moments in Bohr magnetons follow the coordinates.
Fractional positions:
Cd  0.750  0.750  0.750  0.01
Cd  0.250  0.250  0.250  0.01
Nd  0.500  0.500  0.500  0.07
Zr  0.000  0.000  0.000  0.23



A relaxed La4NiPb crystal, computed with PBE.

Summary:
Its energy above the lowest structure with this stoichiometry is 725.3 meV/atom. The total magnetic moment is 0.00 μB per cell. The value obtained for the formation energy is 0.389 eV/atom. The density comes out at 7.33 g/cm3. The space group is F-43m.

Unit cell a=6.409 b=6.409 c=6.409 alpha=60.00 beta=60.00 gamma=60.00
Fractional positions:
La  0.375  0.375  0.876
La  0.876  0.375  0.375
La  0.375  0.876  0.375
Pb  0.000  0.000  0.000
La  0.375  0.375  0.375
Ni  0.750  0.750  0.750



A relaxed CaTe2Os crystal, computed with PBE.

Summary:
Its energy above the lowest structure with this stoichiometry is 173.1 meV/atom. The total magnetic moment is 0.00 μB per cell. The calculation puts the formation energy without anion corrections at -4.7 kcal/mol of atoms. The density comes out at 6.80 g/cm3. The space group is Immm.

Unit cell a=6.896 b=6.896 c=6.896 alpha=148.03 beta=136.58 gamma=54.93
Fractional positions:
Te  0.402  0.402  0.000
Te  0.098  0.098  0.000
Os  0.250  0.750  0.500
Ca  0.750  0.250  0.500



A relaxed Tb4Er2In crystal, computed with PBE.

Summary:
Its energy above the lowest structure with this stoichiometry is 0.0 meV/atom. The total magnetic moment is 0.05 μB per cell. The value obtained for the formation energy is -0.079 eV/atom. The density comes out at 8.32 g/cm3. The space group is R-3m.

Unit cell a=3.604 b=3.604 c=19.353 alpha=84.66 beta=84.66 gamma=60.00
Fractional positions:
Tb  0.290  0.290  0.131
In  0.000  0.000  0.000
Er  0.809  0.809  0.572
Tb  0.710  0.710  0.869
Tb  0.906  0.906  0.282
Er  0.191  0.191  0.428
Tb  0.094  0.094  0.718



A relaxed CeZnCu2 crystal, computed with PBE.

Summary:
The total magnetic moment is 1.45 μB per cell. The value obtained for the formation energy is -0.173 eV/atom. The density comes out at 7.86 g/cm3. The space group is Cmcm.

Unit cell a=4.407 b=6.293 c=10.135 alpha=90.00 beta=90.00 gamma=90.00
Site moments in Bohr magnetons follow the coordinates.
Fractional positions:
Ce  0.750  0.750  0.159  0.30
Ce  0.250  0.250  0.841  0.30
Zn  0.750  0.250  0.046  0.01
Ce  0.750  0.250  0.341  0.30
Zn  0.250  0.750  0.954  0.01
Cu  0.250  0.943  0.372  0.00
Cu  0.750  0.057  0.628  0.00
Cu  0.750  0.557  0.872  0.00
Cu  0.750  0.443  0.628  0.00
Ce  0.250  0.750  0.659  0.30
Cu  0.750  0.943  0.872  0.00
Cu  0.250  0.057  0.128  0.00
Zn  0.750  0.750  0.454  0.01
Cu  0.250  0.557  0.372  0.00
Cu  0.250  0.443  0.128  0.00
Zn  0.250  0.250  0.546  0.01



A relaxed Cs2SrBrCl3 crystal, computed with PBE.

Summary:
The total magnetic moment is 0.00 μB per cell. The calculation puts the formation energy without anion corrections at -48.9 kcal/mol of atoms. The density comes out at 2.98 g/cm3. The space group is Immm.

Unit cell a=5.989 b=5.713 c=9.722 alpha=107.09 beta=107.94 gamma=90.00
Fractional positions:
Br  0.500  0.000  0.000
Cl  0.163  0.163  0.326
Cl  0.000  0.500  0.000
Cs  0.355  0.355  0.710
Cl  0.837  0.837  0.674
Cs  0.645  0.645  0.290
Sr  0.000  0.000  0.000



A relaxed CdAgSe crystal, computed with PBE.

Summary:
Its energy above the lowest structure with this stoichiometry is 120.7 meV/atom. The total magnetic moment is 0.00 μB per cell. The calculation puts the formation energy without anion corrections at -0.7 kcal/mol of atoms. The density comes out at 6.71 g/cm3. The space group is F-43m.

Unit cell a=4.715 b=4.715 c=4.715 alpha=60.00 beta=60.00 gamma=60.00
Fractional positions:
Se  0.250  0.250  0.250
Ag  0.000  0.000  0.000
Cd  0.500  0.500  0.500



A relaxed Ac6Pt3Rh2Cl crystal, computed with PBE.

Summary:
The total magnetic moment is 0.00 μB per cell. The calculation puts the formation energy without anion corrections at -25.1 kcal/mol of atoms. The density comes out at 10.13 g/cm3. The space group is C2/m.

Unit cell a=4.346 b=8.911 c=9.745 alpha=102.43 beta=102.89 gamma=90.00
Fractional positions:
Rh  0.164  0.329  0.328
Rh  0.836  0.671  0.672
Ac  0.006  0.270  0.012
Ac  0.667  0.581  0.335
Cl  0.500  0.000  0.000
Pt  0.841  0.164  0.681
Ac  0.333  0.419  0.665
Pt  0.159  0.836  0.319
Ac  0.676  0.096  0.352
Ac  0.994  0.730  0.988
Ac  0.324  0.904  0.648
Pt  0.500  0.500  0.000